[1]
Crystalline Tl2RuI at its relaxed geometry, computed with PBE.

Cell: 5.5224 5.5224 5.5224 Å, 60.00 60.00 60.00°
With the nearest neighbours (Å) after each atom.
Positions (direct):
Tl: 0.2500 0.2500 0.2500  4 Ru 3.38, 4 I 3.38
Tl: 0.7500 0.7500 0.7500  4 Ru 3.38, 4 I 3.38
Ru: 0.0000 0.0000 0.0000  8 Tl 3.38
I: 0.5000 0.5000 0.5000  8 Tl 3.38

---

[2]
Crystalline Tl2RuI at its relaxed geometry, computed with PBE.

Cell: 8.5730 8.5730 8.5730 Å, 134.27 134.27 66.67°
With the nearest neighbours (Å) after each atom.
Positions (direct):
Tl: 0.0235 0.6250 0.8985  2 Ru 2.64
Tl: 0.3750 0.2735 0.3985  2 Ru 2.64
Tl: 0.7265 0.1250 0.1015  2 Ru 2.64
Tl: 0.8750 0.9765 0.6015  2 Ru 2.64
Ru: 0.0000 0.0000 0.0000  4 Tl 2.64
Ru: 0.7500 0.2500 0.5000  4 Tl 2.64
I: 0.2500 0.7500 0.5000  4 Tl 3.39
I: 0.5000 0.5000 0.0000  4 Tl 3.39

---

For reference, Fermi-level density of states by record: 4.5; 3.4 states/eV per cell.
For reference, energy relative to the elements, uncorrected by record: 860; 599 meV/atom.